1.
First-principles (PBE-GGA) data for Pm3Cu4Rh2 after structural relaxation, as listed in the Alexandria database.

Mass density ... 8.29 g cm⁻³
E_tot ... -97.6 eV for the cell shown

```
data_Pm3Cu4Rh2
_chemical_formula_sum 'Pm6 Cu8 Rh4'
_cell_length_a 10.673
_cell_length_b 4.249
_cell_length_c 8.371
_cell_angle_alpha 90.00
_cell_angle_beta 109.27
_cell_angle_gamma 90.00
_symmetry_space_group_name_H-M 'C 1 2/m 1'
_symmetry_Int_Tables_number 12
loop_
_symmetry_equiv_pos_as_xyz
'x,y,z'
'-x,-y,-z'
'-x,y,-z'
'x,-y,z'
'x+1/2,y+1/2,z'
'-x+1/2,-y+1/2,-z'
'-x+1/2,y+1/2,-z'
'x+1/2,-y+1/2,z'
loop_
_atom_site_label
_atom_site_type_symbol
_atom_site_fract_x
_atom_site_fract_y
_atom_site_fract_z
Pm1 Pm 0.000 0.000 0.000
Pm2 Pm 0.178 0.500 0.653
Cu1 Cu 0.039 0.000 0.380
Cu2 Cu 0.225 0.500 0.053
Rh1 Rh 0.107 0.500 0.269
```



2.
First-principles (PBE-GGA) data for Rb2Sn2Au after structural relaxation, as listed in the Alexandria database.

Mass density ... 5.93 g cm⁻³
Excess energy over the best structure of this formula in the dataset ... 0.073 eV per atom

```
data_Rb2Sn2Au
_chemical_formula_sum 'Rb4 Sn4 Au2'
_cell_length_a 7.388
_cell_length_b 7.388
_cell_length_c 6.210
_cell_angle_alpha 90.00
_cell_angle_beta 90.00
_cell_angle_gamma 90.00
_symmetry_space_group_name_H-M 'P 4/m b m'
_symmetry_Int_Tables_number 127
_symmetry_space_group_name_Hall '-P 4 2ab'
loop_
_atom_site_label
_atom_site_type_symbol
_atom_site_fract_x
_atom_site_fract_y
_atom_site_fract_z
Rb1 Rb 0.179 0.321 0.000
Sn1 Sn 0.140 0.640 0.500
Au1 Au 0.000 0.000 0.500
```



Among the records above, which one has the highest mass density?
Pm3Cu4Rh2